1.
Here is a relaxed structure of In4SbRh from Alexandria. Energies are from PBE.

Values from the calculation:
**Formation energy (no corrections)**: 0.4602 eV per atom
**Magnetic moment**: 0.0 μB per cell

Structure (CIF):
```
data_In4SbRh
_cell_length_a 8.405
_cell_length_b 8.405
_cell_length_c 8.405
_cell_angle_alpha 90.00
_cell_angle_beta 90.00
_cell_angle_gamma 90.00
_space_group_name_H-M_alt 'F -4 3 m'
_space_group_IT_number 216
_space_group_name_Hall 'F -4 2 3'
loop_
_atom_site_label
_atom_site_fract_x
_atom_site_fract_y
_atom_site_fract_z
_atom_site_occupancy
In1 0.124 0.124 0.124 1
Sb1 0.000 0.000 0.500 1
Rh1 0.250 0.250 0.750 1
```

2.
Here is a relaxed structure of Rb2SiPS from Alexandria. Energies are from PBE.

Values from the calculation:
**Formation energy (no corrections)**: 0.0770 eV per atom
**Magnetic moment**: 0.8 μB per cell

Structure (CIF):
```
data_Rb2SiPS
_cell_length_a 6.687
_cell_length_b 6.687
_cell_length_c 4.325
_cell_angle_alpha 90.00
_cell_angle_beta 90.00
_cell_angle_gamma 90.00
_space_group_name_H-M_alt 'P 4/m m m'
_space_group_IT_number 123
_space_group_name_Hall '-P 4 2'
loop_
_atom_site_label
_atom_site_fract_x
_atom_site_fract_y
_atom_site_fract_z
_atom_site_occupancy
Rb1 0.000 0.500 0.000 1
Si1 0.000 0.000 0.000 1
P1 0.000 0.000 0.500 1
S1 0.500 0.500 0.500 1
```

3.
Here is a relaxed structure of K3Ac3PaSe8 from Alexandria. Energies are from PBE.

Values from the calculation:
**Formation energy (no corrections)**: -1.7232 eV per atom
**Magnetic moment**: 3.1 μB per cell

Structure (CIF):
```
data_K3Ac3PaSe8
_cell_length_a 9.0318
_cell_length_b 9.0318
_cell_length_c 23.3532
_cell_angle_alpha 90.00
_cell_angle_beta 90.00
_cell_angle_gamma 120.00
_space_group_name_H-M_alt 'R -3 m'
_space_group_IT_number 166
_space_group_name_Hall '-R 3 2"'
loop_
_atom_site_label
_atom_site_fract_x
_atom_site_fract_y
_atom_site_fract_z
_atom_site_occupancy
K1 0.0000 0.5000 0.0000 1
Ac1 0.0000 0.5000 0.5000 1
Pa1 0.0000 0.0000 0.5000 1
Se1 0.0000 0.0000 0.2394 1
Se2 0.0226 0.5113 0.2345 1
```

4.
Here is a relaxed structure of Sm4Tm3In4 from Alexandria. Energies are from PBE.

Values from the calculation:
**Magnetic moment**: 0.0 μB per cell
**Energy of formation**: -0.297 eV/atom

Structure (CIF):
```
data_Sm4Tm3In4
_cell_length_a 3.584
_cell_length_b 9.390
_cell_length_c 19.248
_cell_angle_alpha 90.00
_cell_angle_beta 90.00
_cell_angle_gamma 90.00
_space_group_name_H-M_alt 'I m m m'
_space_group_IT_number 71
_space_group_name_Hall '-I 2 2'
loop_
_atom_site_label
_atom_site_fract_x
_atom_site_fract_y
_atom_site_fract_z
_atom_site_occupancy
Sm1 0.000 0.178 0.161 1
Tm1 0.000 0.000 0.406 1
Tm2 0.000 0.500 0.500 1
In1 0.000 0.282 0.000 1
In2 0.000 0.500 0.225 1
```

5.
Here is a relaxed structure of TaAg3Os from Alexandria. Energies are from PBE.

Values from the calculation:
**Energy above the most stable polymorph in this dataset**: 287 meV/atom
**Magnetic moment**: 3.2 μB per cell
**Energy of formation**: 2.489 eV/atom

Structure (CIF):
```
data_TaAg3Os
_cell_length_a 5.015
_cell_length_b 5.015
_cell_length_c 5.015
_cell_angle_alpha 90.00
_cell_angle_beta 90.00
_cell_angle_gamma 90.00
_space_group_name_H-M_alt 'P m -3 m'
_space_group_IT_number 221
_space_group_name_Hall '-P 4 2 3'
loop_
_atom_site_label
_atom_site_fract_x
_atom_site_fract_y
_atom_site_fract_z
_atom_site_occupancy
Ta1 0.000 0.000 0.000 1
Ag1 0.000 0.000 0.500 1
Os1 0.500 0.500 0.500 1
```

6.
Here is a relaxed structure of NaCoRu from Alexandria. Energies are from PBE.

Values from the calculation:
**Energy above the most stable polymorph in this dataset**: 528 meV/atom
**Magnetic moment**: 0.4 μB per cell
**Energy of formation**: 0.924 eV/atom

Structure (CIF):
```
data_NaCoRu
_cell_length_a 3.8355
_cell_length_b 3.8355
_cell_length_c 4.7352
_cell_angle_alpha 90.00
_cell_angle_beta 90.00
_cell_angle_gamma 120.00
_space_group_name_H-M_alt 'P -6 m 2'
_space_group_IT_number 187
_space_group_name_Hall 'P -6 2'
loop_
_atom_site_label
_atom_site_fract_x
_atom_site_fract_y
_atom_site_fract_z
_atom_site_occupancy
Na1 0.0000 0.0000 0.0000 1
Co1 0.3333 0.6667 0.5000 1
Ru1 0.6667 0.3333 0.5000 1
```

> magnetic moment of number 4 (Sm4Tm3In4)?

0.0 μB per cell